! ZnAg2Pt GGA-PBEsol optimized geometry; values from VASP
&SYSTEM
  ibrav = 0, nat = 4, ntyp = 3
/
ATOMIC_SPECIES
Zn 65.41 Zn.upf
Ag 107.87 Ag.upf
Pt 195.08 Pt.upf
CELL_PARAMETERS angstrom
2.8340 0.0000 0.0000
0.0000 2.8340 0.0000
0.0000 0.0000 7.6055
ATOMIC_POSITIONS angstrom
Zn 0.0000 0.0000 0.0000
Ag 0.0000 0.0000 3.9334
Ag 1.4170 1.4170 1.8754
Pt 1.4170 1.4170 5.9533
! - DOS at the Fermi energy: 1.26 states/eV/f.u.
! - SG: P4mm, No. 99
! - Total magnetization: 0.0 μB/cell
! - Formation energy from the elements: -0.74 eV/f.u.